AlTc3Ge: relaxed, PBEsol.

The value obtained for the total magnetization is 1.248 μB per cell. Its raw total energy is -36.823 eV per formula unit. For the density of states at the Fermi level, the calculation gives 7.37 states/eV/f.u. For the formation energy, the calculation gives 1.20 eV per atom. Its crystal system is cubic. For the volume, the calculation gives 89 Å³ per cell.

The structure belongs to space group Pm-3m (No. 221); the cell edges are 4.4598, 4.4598 and 4.4598 Å and the angles 90.00°, 90.00° and 90.00°. Symmetry generates all atoms from Al at (0.0000, 0.0000, 0.0000), Tc at (0.0000, 0.5000, 0.5000) and Ge at (0.5000, 0.5000, 0.5000).